Computed, not measured: a relaxed structure of ZrZn at the PBE-GGA level of DFT.

Computed properties:
Formation energy from the elements in meV/atom: -5
Uncorrected energy in Ry per atom: -0.361

Lattice parameters (Å, degrees): 9.011 9.011 9.011 20.90 20.90 20.90
Element x y z (fractional)
1 Zr 0.121 0.121 0.121
2 Zr 0.879 0.879 0.879
3 Zn 0.369 0.369 0.369
4 Zn 0.631 0.631 0.631